1.
Computed, not measured: an optimized crystal structure of PrHo2Er6Sc3 at the PBE-GGA level of DFT.

Cell lengths 6.020, 6.020, 11.440 Å; angles 95.03, 95.03, 119.97 degrees
Fractional coordinates of all 12 atoms:
Pr1 0.000 0.000 0.000
Ho1 0.333 0.667 0.000
Ho2 0.667 0.333 0.000
Er1 0.087 0.421 0.260
Er2 0.247 0.247 0.740
Er3 0.421 0.087 0.260
Er4 0.579 0.913 0.740
Er5 0.753 0.753 0.260
Er6 0.913 0.579 0.740
Sc1 0.167 0.833 0.500
Sc2 0.500 0.500 0.500
Sc3 0.833 0.167 0.500

Its total magnetization is 0.00 μB/f.u. Its formation energy is 0.045 eV/atom. Its space-group type is C2/m, No. 12. For the total DFT energy (no corrections), the calculation gives -4.980 eV per atom.



2.
Computed, not measured: an optimized crystal structure of Pr8Te4PdSe3 at the PBE-GGA level of DFT.

Cell lengths 8.883, 8.883, 8.883 Å; angles 59.04, 59.04, 59.04 degrees
Fractional coordinates of all 16 atoms:
Pr1 0.241 0.241 0.241
Pr2 0.246 0.739 0.739
Pr3 0.261 0.261 0.754
Pr4 0.261 0.754 0.261
Pr5 0.739 0.246 0.739
Pr6 0.739 0.739 0.246
Pr7 0.754 0.261 0.261
Pr8 0.759 0.759 0.759
Te1 0.000 0.000 0.000
Te2 0.000 0.500 0.500
Te3 0.500 0.000 0.500
Te4 0.500 0.500 0.000
Pd1 0.500 0.500 0.500
Se1 0.000 0.000 0.500
Se2 0.000 0.500 0.000
Se3 0.500 0.000 0.000

Its total magnetization is 0.00 μB/f.u. Its space-group type is R-3m, No. 166. For the total DFT energy (no corrections), the calculation gives -5.667 eV per atom. The calculation puts the raw formation energy at -1.514 eV per atom.



Among the records above, which one has the highest total DFT energy (no corrections)?
PrHo2Er6Sc3